VASP calculation (PBE-GGA) on a relaxed structure of Bi2B3O9.

Raw formation energy   -1.615 eV/atom
Calculated density   6.2 g/cm3
Calculated volume   11.39 A^3/atom

Cell and atoms, written as POSCAR:
```
Bi2B3O9
1.0
6.303 0.000 0.000
-3.151 5.458 0.000
0.000 0.000 9.272
Bi B O
4 6 18
direct
0.333 0.667 0.000 Bi
0.333 0.667 0.500 Bi
0.667 0.333 0.000 Bi
0.667 0.333 0.500 Bi
0.000 0.231 0.250 B
0.000 0.769 0.750 B
0.231 0.000 0.250 B
0.231 0.231 0.750 B
0.769 0.000 0.750 B
0.769 0.769 0.250 B
0.000 0.225 0.750 O
0.000 0.368 0.115 O
0.000 0.368 0.385 O
0.000 0.632 0.615 O
0.000 0.632 0.885 O
0.000 0.775 0.250 O
0.225 0.000 0.750 O
0.225 0.225 0.250 O
0.368 0.000 0.115 O
0.368 0.000 0.385 O
0.368 0.368 0.615 O
0.368 0.368 0.885 O
0.632 0.000 0.615 O
0.632 0.000 0.885 O
0.632 0.632 0.115 O
0.632 0.632 0.385 O
0.775 0.000 0.250 O
0.775 0.775 0.750 O
```